# Nd2ThN | Alexandria via LeMat-Bulk | PBE | relaxed
# Energy relative to the elements, uncorrected: -2.0 eV/f.u.
# Crystal system: trigonal
data_Nd2ThN
_chemical_formula_sum 'Nd6 Th3 N3'
_space_group_name_H-M_alt 'R -3 m'
_space_group_IT_number 166
_space_group_name_Hall '-R 3 2"'
_cell_length_a 3.5364
_cell_length_b 3.5364
_cell_length_c 29.9371
_cell_angle_alpha 90.00
_cell_angle_beta 90.00
_cell_angle_gamma 120.00
loop_
_atom_site_label
_atom_site_type_symbol
_atom_site_fract_x
_atom_site_fract_y
_atom_site_fract_z
Nd1 Nd 0.0000 0.0000 0.1195
Th1 Th 0.0000 0.0000 0.0000
N1 N 0.0000 0.0000 0.5000



# Nd2MgAs3Rh4 | Alexandria via LeMat-Bulk | PBE | relaxed
# Crystal system: tetragonal
# DFT total energy: -6.344 eV per atom
data_Nd2MgAs3Rh4
_chemical_formula_sum 'Nd2 Mg1 As3 Rh4'
_space_group_name_H-M_alt 'P -4 m 2'
_space_group_IT_number 115
_cell_length_a 4.120
_cell_length_b 4.120
_cell_length_c 10.968
_cell_angle_alpha 90.00
_cell_angle_beta 90.00
_cell_angle_gamma 90.00
loop_
_space_group_symop_operation_xyz
'x,y,z'
'y,-x,-z'
'-x,-y,z'
'-y,x,-z'
'-x,y,z'
'-y,-x,-z'
'x,-y,z'
'y,x,-z'
loop_
_atom_site_label
_atom_site_type_symbol
_atom_site_fract_x
_atom_site_fract_y
_atom_site_fract_z
Nd1 Nd 0.000 0.500 0.244
Mg1 Mg 0.000 0.000 0.500
As1 As 0.000 0.500 0.868
As2 As 0.500 0.500 0.500
Rh1 Rh 0.000 0.000 0.000
Rh2 Rh 0.000 0.500 0.648
Rh3 Rh 0.500 0.500 0.000



# CaPrCuPt | Alexandria via LeMat-Bulk | PBE | relaxed
# Energy relative to the lowest polymorph listed for this composition: 0.0 meV/atom
# Crystal system: orthorhombic
data_CaPrCuPt
_chemical_formula_sum 'Ca2 Pr2 Cu2 Pt2'
_space_group_name_H-M_alt 'A m m 2'
_space_group_IT_number 38
_cell_length_a 4.352
_cell_length_b 4.068
_cell_length_c 10.956
_cell_angle_alpha 90.00
_cell_angle_beta 90.00
_cell_angle_gamma 90.00
loop_
_space_group_symop_operation_xyz
'x,y,z'
'-x,-y,z'
'-x,y,z'
'x,-y,z'
'x,y+1/2,z+1/2'
'-x,-y+1/2,z+1/2'
'-x,y+1/2,z+1/2'
'x,-y+1/2,z+1/2'
loop_
_atom_site_label
_atom_site_type_symbol
_atom_site_fract_x
_atom_site_fract_y
_atom_site_fract_z
Ca1 Ca 0.000 0.000 0.000
Pr1 Pr 0.500 0.000 0.721
Cu1 Cu 0.500 0.000 0.428
Pt1 Pt 0.000 0.000 0.284



# KCaTa2Se | Alexandria via LeMat-Bulk | PBE | relaxed
# Energy relative to the elements, uncorrected: 11.0 eV/f.u.
# Crystal system: tetragonal
data_KCaTa2Se
_chemical_formula_sum 'K1 Ca1 Ta2 Se1'
_space_group_name_H-M_alt 'P 4/m m m'
_space_group_IT_number 123
_space_group_name_Hall '-P 4 2'
_cell_length_a 5.019
_cell_length_b 5.019
_cell_length_c 5.675
_cell_angle_alpha 90.00
_cell_angle_beta 90.00
_cell_angle_gamma 90.00
loop_
_atom_site_label
_atom_site_type_symbol
_atom_site_fract_x
_atom_site_fract_y
_atom_site_fract_z
K1 K 0.000 0.000 0.000
Ca1 Ca 0.000 0.000 0.500
Ta1 Ta 0.000 0.500 0.500
Se1 Se 0.500 0.500 0.000



Which formula does entry 2 have? Nd2MgAs3Rh4